No. 1
A relaxed Dy3Co2Sn3 crystal, computed with PBE-GGA.

a = 5.8112 Å, b = 5.8112 Å, c = 14.8067 Å
α = 90.00°, β = 90.00°, γ = 135.22°
Sites, in units of the cell vectors:
Dy: 0.0718 0.9282 0.6108
Dy: 0.0718 0.9282 0.8892
Dy: 0.3522 0.6478 0.7500
Dy: 0.6478 0.3522 0.2500
Dy: 0.9282 0.0718 0.1108
Dy: 0.9282 0.0718 0.3892
Co: 0.2038 0.7962 0.1077
Co: 0.2038 0.7962 0.3923
Co: 0.7962 0.2038 0.6077
Co: 0.7962 0.2038 0.8923
Sn: 0.3493 0.6507 0.2500
Sn: 0.3614 0.6386 0.5364
Sn: 0.3614 0.6386 0.9636
Sn: 0.6386 0.3614 0.0364
Sn: 0.6386 0.3614 0.4636
Sn: 0.6507 0.3493 0.7500

Computed properties:
final energy: -5.56 eV/atom
calculated volume: 352 Å³/cell

No. 2
A relaxed Dy3Co6Sn5 crystal, computed with PBE-GGA.

a = 8.1052 Å, b = 8.1052 Å, c = 8.1052 Å
α = 149.13°, β = 107.29°, γ = 81.06°
Sites, in units of the cell vectors:
Dy: 0.0000 0.0000 0.0000
Dy: 0.3176 0.3176 0.0000
Dy: 0.6824 0.6824 0.0000
Co: 0.1656 0.8924 0.2731
Co: 0.3043 0.5000 0.8043
Co: 0.3807 0.1076 0.2731
Co: 0.6193 0.8924 0.7269
Co: 0.6957 0.5000 0.1957
Co: 0.8344 0.1076 0.7269
Sn: 0.0179 0.6768 0.3412
Sn: 0.3356 0.6768 0.6588
Sn: 0.5000 0.0000 0.5000
Sn: 0.6644 0.3232 0.3412
Sn: 0.9821 0.3232 0.6588

Computed properties:
final energy: -5.80 eV/atom
calculated volume: 255 Å³/cell

No. 3
A relaxed Dy12Co5Sn crystal, computed with PBE-GGA.

a = 8.2546 Å, b = 8.2546 Å, c = 8.2546 Å
α = 110.86°, β = 110.66°, γ = 106.93°
Sites, in units of the cell vectors:
Dy: 0.0162 0.2088 0.8074
Dy: 0.1857 0.2914 0.4771
Dy: 0.1857 0.7086 0.8944
Dy: 0.3137 0.0077 0.6940
Dy: 0.3137 0.6198 0.3060
Dy: 0.4013 0.2088 0.1926
Dy: 0.5987 0.7912 0.8074
Dy: 0.6863 0.3802 0.6940
Dy: 0.6863 0.9923 0.3060
Dy: 0.8143 0.2914 0.1056
Dy: 0.8143 0.7086 0.5229
Dy: 0.9838 0.7912 0.1926
Co: 0.0000 0.0000 0.0000
Co: 0.1129 0.6129 0.5000
Co: 0.3770 0.0000 0.3770
Co: 0.6230 0.0000 0.6230
Co: 0.8871 0.3871 0.5000
Sn: 0.5000 0.5000 0.0000

Computed properties:
final energy: -5.55 eV/atom
calculated volume: 432 Å³/cell